The following is a DFT calculation (PBE-GGA) of a relaxed structure of Ca2SiHg.

Output
Raw formation energy in eV/atom: -0.241
Uncorrected energy in eV for the cell shown: -21.39
Space-group type: I-4m2 (119)

Lattice parameters (Å, degrees): 4.4928 4.4928 10.0244 90.00 90.00 90.00
Closest atoms and distances in Å follow each position.
Sites, in units of the cell vectors:
Ca  0.0000  0.0000  0.0000  4 Si 3.18, 4 Hg 3.37, 4 Ca 3.37
Ca  0.0000  0.5000  0.2500  4 Hg 3.18, 4 Ca 3.37, 4 Si 3.37
Ca  0.5000  0.0000  0.7500  4 Hg 3.18, 4 Ca 3.37, 4 Si 3.37
Ca  0.5000  0.5000  0.5000  4 Si 3.18, 4 Hg 3.37, 4 Ca 3.37
Si  0.0000  0.0000  0.5000  8 Ca 3.18-3.37, 4 Hg 3.37
Si  0.5000  0.5000  0.0000  8 Ca 3.18-3.37, 4 Hg 3.37
Hg  0.0000  0.5000  0.7500  8 Ca 3.18-3.37, 4 Si 3.37
Hg  0.5000  0.0000  0.2500  8 Ca 3.18-3.37, 4 Si 3.37